[1]
First-principles (GGA-PBE) data for a relaxed structure of RhSeCl3, as listed in Alexandria via LeMat-Bulk.

## Properties
Its formation energy (no corrections) is 91 kJ/mol of formula units. Its energy above the most stable polymorph in this dataset is 0 meV per atom.

Cell: 4.833 4.833 4.833 Å, 90.00 90.00 90.00°
Each line ends with the local moment (μB).
Fractional positions:
Rh (0.000, 0.000, 0.000)  0.07
Se (0.500, 0.500, 0.500)  1.32
Cl (0.000, 0.500, 0.000)  0.09
Cl (0.000, 0.000, 0.500)  0.15
Cl (0.500, 0.000, 0.000)  0.14

[2]
First-principles (GGA-PBE) data for a relaxed structure of RhSeCl3, as listed in Alexandria via LeMat-Bulk.

## Properties
Its formation energy (no corrections) is 310 kJ/mol of formula units. Its energy above the most stable polymorph in this dataset is 454 meV per atom.

Cell: 5.077 5.077 5.077 Å, 90.00 90.00 90.00°
Each line ends with the local moment (μB).
Fractional positions:
Rh (0.500, 0.500, 0.500)  1.60
Se (0.000, 0.000, 0.000)  -0.02
Cl (0.000, 0.500, 0.000)  0.02
Cl (0.000, 0.000, 0.500)  0.01
Cl (0.500, 0.000, 0.000)  0.01

[3]
First-principles (GGA-PBE) data for a relaxed structure of RhSe2Cl7, as listed in Alexandria via LeMat-Bulk.

## Properties
Its formation energy (no corrections) is -418 kJ/mol of formula units.

Cell: 13.112 8.361 14.205 Å, 57.45 90.00 90.00°
Fractional positions:
Rh (0.396, 0.872, 0.593)
Rh (0.896, 0.128, 0.907)
Rh (0.104, 0.872, 0.093)
Rh (0.604, 0.128, 0.407)
Se (0.894, 0.874, 0.875)
Se (0.106, 0.126, 0.125)
Se (0.848, 0.417, 0.740)
Se (0.606, 0.874, 0.375)
Se (0.152, 0.583, 0.260)
Se (0.652, 0.417, 0.240)
Se (0.394, 0.126, 0.625)
Se (0.348, 0.583, 0.760)
Cl (0.282, 0.849, 0.084)
Cl (0.721, 0.361, 0.119)
Cl (0.010, 0.449, 0.351)
Cl (0.242, 0.150, 0.678)
Cl (0.976, 0.979, 0.718)
Cl (0.782, 0.151, 0.416)
Cl (0.921, 0.875, 0.103)
Cl (0.218, 0.849, 0.584)
Cl (0.421, 0.125, 0.397)
Cl (0.279, 0.639, 0.881)
Cl (0.779, 0.361, 0.619)
Cl (0.742, 0.850, 0.822)
Cl (0.088, 0.628, 0.053)
Cl (0.412, 0.628, 0.553)
Cl (0.476, 0.021, 0.782)
Cl (0.718, 0.151, 0.916)
Cl (0.079, 0.125, 0.897)
Cl (0.024, 0.021, 0.282)
Cl (0.912, 0.372, 0.947)
Cl (0.510, 0.551, 0.149)
Cl (0.588, 0.372, 0.447)
Cl (0.258, 0.150, 0.178)
Cl (0.524, 0.979, 0.218)
Cl (0.990, 0.551, 0.649)
Cl (0.221, 0.639, 0.381)
Cl (0.579, 0.875, 0.603)
Cl (0.490, 0.449, 0.851)
Cl (0.758, 0.850, 0.322)

[4]
First-principles (GGA-PBE) data for a relaxed structure of Rh2SeCl4, as listed in Alexandria via LeMat-Bulk.

## Properties
Its formation energy (no corrections) is 274 kJ/mol of formula units.

Cell: 5.399 5.399 7.129 Å, 67.75 67.75 90.00°
Each line ends with the local moment (μB).
Fractional positions:
Rh (0.596, 0.596, 0.807)  1.57
Rh (0.404, 0.404, 0.193)  1.57
Se (0.000, 0.000, 0.000)  0.06
Cl (0.796, 0.796, 0.408)  0.06
Cl (0.204, 0.204, 0.592)  0.06
Cl (0.000, 0.500, 0.000)  0.08
Cl (0.500, 0.000, 0.000)  0.08

[5]
First-principles (GGA-PBE) data for a relaxed structure of Sm3RhSeCl, as listed in Alexandria via LeMat-Bulk.

## Properties
Its formation energy (no corrections) is -715 kJ/mol of formula units.

Cell: 4.078 8.346 10.002 Å, 94.18 90.00 90.00°
Fractional positions:
Sm (0.750, 0.824, 0.117)
Sm (0.250, 0.176, 0.883)
Sm (0.250, 0.652, 0.399)
Sm (0.750, 0.348, 0.601)
Sm (0.750, 0.360, 0.178)
Sm (0.250, 0.640, 0.822)
Rh (0.250, 0.578, 0.112)
Rh (0.750, 0.422, 0.888)
Se (0.250, 0.093, 0.166)
Se (0.750, 0.907, 0.834)
Cl (0.250, 0.127, 0.592)
Cl (0.750, 0.873, 0.408)

[6]
First-principles (GGA-PBE) data for a relaxed structure of Sm4RhSeCl2, as listed in Alexandria via LeMat-Bulk.

## Properties
Its formation energy (no corrections) is -1031 kJ/mol of formula units.

Cell: 4.008 7.283 7.492 Å, 71.79 90.00 90.00°
Fractional positions:
Sm (0.000, 0.729, 0.744)
Sm (0.000, 0.271, 0.256)
Sm (0.500, 0.716, 0.282)
Sm (0.500, 0.284, 0.718)
Rh (0.000, 0.500, 0.500)
Se (0.500, 0.500, 0.000)
Cl (0.000, 0.000, 0.000)
Cl (0.500, 0.000, 0.500)

[7]
First-principles (GGA-PBE) data for a relaxed structure of Tb3RhSeCl, as listed in Alexandria via LeMat-Bulk.

## Properties
Its formation energy (no corrections) is -734 kJ/mol of formula units.

Cell: 4.011 8.195 9.865 Å, 93.59 90.00 90.00°
Fractional positions:
Tb (0.750, 0.818, 0.116)
Tb (0.250, 0.182, 0.884)
Tb (0.250, 0.645, 0.394)
Tb (0.750, 0.355, 0.606)
Tb (0.750, 0.354, 0.180)
Tb (0.250, 0.646, 0.820)
Rh (0.250, 0.571, 0.109)
Rh (0.750, 0.429, 0.891)
Se (0.250, 0.088, 0.165)
Se (0.750, 0.912, 0.835)
Cl (0.250, 0.134, 0.591)
Cl (0.750, 0.866, 0.409)

[8]
First-principles (GGA-PBE) data for a relaxed structure of TiRh2SeCl, as listed in Alexandria via LeMat-Bulk.

## Properties
Its formation energy (no corrections) is 178 kJ/mol of formula units.

Cell: 4.589 4.886 4.589 Å, 90.00 90.00 90.00°
Fractional positions:
Cl (0.500, 0.500, 0.500)
Rh (0.000, 0.000, 0.500)
Rh (0.500, 0.000, 0.000)
Se (0.000, 0.000, 0.000)
Ti (0.000, 0.500, 0.000)

[9]
First-principles (GGA-PBE) data for a relaxed structure of Y4RhSe2Cl, as listed in Alexandria via LeMat-Bulk.

## Properties
Its formation energy (no corrections) is -1082 kJ/mol of formula units.

Cell: 3.971 7.212 7.124 Å, 71.53 90.00 90.00°
Fractional positions:
Y (0.000, 0.749, 0.734)
Y (0.000, 0.251, 0.266)
Y (0.500, 0.730, 0.276)
Y (0.500, 0.270, 0.724)
Rh (0.000, 0.500, 0.500)
Se (0.000, 0.000, 0.000)
Se (0.500, 0.000, 0.500)
Cl (0.500, 0.500, 0.000)

[10]
First-principles (GGA-PBE) data for a relaxed structure of SiRhCl2, as listed in Alexandria via LeMat-Bulk.

## Properties
Its formation energy (no corrections) is 212 kJ/mol of formula units. Its energy above the most stable polymorph in this dataset is 1127 meV per atom.

Cell: 3.229 3.312 6.557 Å, 90.00 90.00 90.00°
Each line ends with the local moment (μB).
Fractional positions:
Cl (0.000, 0.000, 0.012)  0.07
Cl (0.000, 0.000, 0.488)  0.07
Rh (0.500, 0.500, 0.250)  1.04
Si (0.500, 0.500, 0.750)  -0.06

[11]
First-principles (GGA-PBE) data for a relaxed structure of SiRhCl2, as listed in Alexandria via LeMat-Bulk.

## Properties
Its formation energy (no corrections) is 140 kJ/mol of formula units. Its energy above the most stable polymorph in this dataset is 941 meV per atom.

Cell: 8.391 8.391 8.391 Å, 22.43 22.43 22.43°
Each line ends with the local moment (μB).
Fractional positions:
Cl (0.985, 0.985, 0.985)  0.10
Cl (0.515, 0.515, 0.515)  0.10
Rh (0.250, 0.250, 0.250)  0.90
Si (0.750, 0.750, 0.750)  -0.01

[12]
First-principles (GGA-PBE) data for a relaxed structure of SiRhCl2, as listed in Alexandria via LeMat-Bulk.

## Properties
Its formation energy (no corrections) is 81 kJ/mol of formula units. Its energy above the most stable polymorph in this dataset is 786 meV per atom.

Cell: 3.868 4.376 4.377 Å, 81.77 90.00 90.00°
Each line ends with the local moment (μB).
Fractional positions:
Cl (0.000, 0.022, 0.022)  0.02
Cl (0.000, 0.478, 0.478)  0.02
Rh (0.500, 0.250, 0.250)  0.34
Si (0.500, 0.750, 0.750)  0.01

[13]
First-principles (GGA-PBE) data for a relaxed structure of SiRhCl2, as listed in Alexandria via LeMat-Bulk.

## Properties
Its formation energy (no corrections) is 77 kJ/mol of formula units. Its energy above the most stable polymorph in this dataset is 778 meV per atom.

Cell: 4.552 4.551 4.552 Å, 66.78 77.78 113.22°
Fractional positions:
Cl (0.000, 0.000, 0.000)
Cl (0.500, 0.000, 0.500)
Rh (0.000, 0.500, 0.500)
Si (0.500, 0.500, 0.000)

[14]
First-principles (GGA-PBE) data for a relaxed structure of Si3RhCl, as listed in Alexandria via LeMat-Bulk.

## Properties
Its formation energy (no corrections) is 622 kJ/mol of formula units. Its energy above the most stable polymorph in this dataset is 1079 meV per atom.

Cell: 4.462 4.462 4.462 Å, 90.00 90.00 90.00°
Fractional positions:
Si (0.000, 0.500, 0.000)
Si (0.000, 0.000, 0.500)
Si (0.500, 0.000, 0.000)
Rh (0.500, 0.500, 0.500)
Cl (0.000, 0.000, 0.000)

[15]
First-principles (GGA-PBE) data for a relaxed structure of SiRhCl, as listed in Alexandria via LeMat-Bulk.

## Properties
Its formation energy (no corrections) is -167 kJ/mol of formula units. Its energy above the most stable polymorph in this dataset is 0 meV per atom.

Cell: 6.236 6.236 6.236 Å, 151.70 151.70 40.45°
Fractional positions:
Si (0.804, 0.804, 0.000)
Rh (0.214, 0.214, 0.000)
Cl (0.982, 0.982, 0.000)

[16]
First-principles (GGA-PBE) data for a relaxed structure of SiRhCl2, as listed in Alexandria via LeMat-Bulk.

## Properties
Its formation energy (no corrections) is -47 kJ/mol of formula units. Its energy above the most stable polymorph in this dataset is 456 meV per atom.

Cell: 3.281 3.281 8.570 Å, 90.00 90.00 117.87°
Fractional positions:
Cl (0.000, 0.000, 0.927)
Cl (0.500, 0.500, 0.321)
Rh (0.000, 0.000, 0.539)
Si (0.500, 0.500, 0.713)

[17]
First-principles (GGA-PBE) data for a relaxed structure of SiRhCl2, as listed in Alexandria via LeMat-Bulk.

## Properties
Its formation energy (no corrections) is 128 kJ/mol of formula units. Its energy above the most stable polymorph in this dataset is 908 meV per atom.

Cell: 4.287 4.287 8.762 Å, 75.84 75.84 90.00°
Each line ends with the local moment (μB).
Fractional positions:
Si (0.500, 0.500, 0.000)  0.01
Si (0.250, 0.750, 0.500)  0.01
Rh (0.000, 0.000, 0.000)  0.60
Rh (0.750, 0.250, 0.500)  0.57
Cl (0.635, 0.125, 0.250)  0.05
Cl (0.115, 0.625, 0.250)  0.05
Cl (0.375, 0.365, 0.750)  0.05
Cl (0.875, 0.885, 0.750)  0.05

[18]
First-principles (GGA-PBE) data for a relaxed structure of SiRhCl2, as listed in Alexandria via LeMat-Bulk.

## Properties
Its formation energy (no corrections) is 120 kJ/mol of formula units. Its energy above the most stable polymorph in this dataset is 890 meV per atom.

Cell: 8.494 8.494 8.494 Å, 23.13 23.13 23.13°
Each line ends with the local moment (μB).
Fractional positions:
Si (0.000, 0.000, 0.000)  0.02
Rh (0.500, 0.500, 0.500)  1.22
Cl (0.897, 0.897, 0.897)  0.12
Cl (0.103, 0.103, 0.103)  0.12

[19]
First-principles (GGA-PBE) data for a relaxed structure of Si3RhCl, as listed in Alexandria via LeMat-Bulk.

## Properties
Its formation energy (no corrections) is 101 kJ/mol of formula units. Its energy above the most stable polymorph in this dataset is 0 meV per atom.

Cell: 4.650 4.650 4.650 Å, 90.00 90.00 90.00°
Fractional positions:
Si (0.000, 0.500, 0.000)
Si (0.000, 0.000, 0.500)
Si (0.500, 0.000, 0.000)
Rh (0.000, 0.000, 0.000)
Cl (0.500, 0.500, 0.500)

[20]
First-principles (GGA-PBE) data for a relaxed structure of SiRhCl2, as listed in Alexandria via LeMat-Bulk.

## Properties
Its formation energy (no corrections) is -136 kJ/mol of formula units. Its energy above the most stable polymorph in this dataset is 226 meV per atom.

Cell: 8.678 8.678 8.678 Å, 21.51 21.51 21.51°
Fractional positions:
Cl (0.028, 0.028, 0.028)
Cl (0.225, 0.225, 0.225)
Rh (0.485, 0.485, 0.485)
Si (0.762, 0.762, 0.762)

[21]
First-principles (GGA-PBE) data for a relaxed structure of SiRhCl2, as listed in Alexandria via LeMat-Bulk.

## Properties
Its formation energy (no corrections) is -161 kJ/mol of formula units. Its energy above the most stable polymorph in this dataset is 160 meV per atom.

Cell: 3.669 6.673 7.384 Å, 36.34 90.00 90.00°
Fractional positions:
Cl (0.000, 0.979, 0.019)
Cl (0.500, 0.195, 0.387)
Rh (0.000, 0.570, 0.544)
Si (0.500, 0.757, 0.550)

[22]
First-principles (GGA-PBE) data for a relaxed structure of SiRh3Cl, as listed in Alexandria via LeMat-Bulk.

## Properties
Its formation energy (no corrections) is 279 kJ/mol of formula units. Its energy above the most stable polymorph in this dataset is 0 meV per atom.

Cell: 4.511 4.511 4.511 Å, 90.00 90.00 90.00°
Each line ends with the local moment (μB).
Fractional positions:
Si (0.000, 0.000, 0.000)  -0.03
Rh (0.000, 0.500, 0.000)  0.79
Rh (0.000, 0.000, 0.500)  0.72
Rh (0.500, 0.000, 0.000)  0.46
Cl (0.500, 0.500, 0.500)  0.13

[23]
First-principles (GGA-PBE) data for a relaxed structure of SiRhCl2, as listed in Alexandria via LeMat-Bulk.

## Properties
Its formation energy (no corrections) is 174 kJ/mol of formula units. Its energy above the most stable polymorph in this dataset is 1030 meV per atom.

Cell: 4.588 4.588 4.588 Å, 121.42 121.42 87.56°
Fractional positions:
Cl (0.000, 0.000, 0.000)
Cl (0.250, 0.750, 0.500)
Rh (0.500, 0.500, 0.000)
Si (0.750, 0.250, 0.500)

[24]
First-principles (GGA-PBE) data for a relaxed structure of SiRhCl2, as listed in Alexandria via LeMat-Bulk.

## Properties
Its formation energy (no corrections) is -73 kJ/mol of formula units. Its energy above the most stable polymorph in this dataset is 388 meV per atom.

Cell: 7.603 7.603 3.639 Å, 93.38 93.38 24.57°
Fractional positions:
Cl (0.104, 0.104, 0.027)
Cl (0.396, 0.396, 0.473)
Rh (0.750, 0.750, 0.750)
Si (0.250, 0.250, 0.250)

[25]
First-principles (GGA-PBE) data for a relaxed structure of SiRhCl2, as listed in Alexandria via LeMat-Bulk.

## Properties
Its formation energy (no corrections) is 115 kJ/mol of formula units. Its energy above the most stable polymorph in this dataset is 875 meV per atom.

Cell: 3.034 5.424 4.201 Å, 90.00 90.00 90.00°
Fractional positions:
Cl (0.000, 0.000, 0.000)
Cl (0.500, 0.500, 0.000)
Rh (0.500, 0.000, 0.500)
Si (0.000, 0.500, 0.500)

[26]
First-principles (GGA-PBE) data for a relaxed structure of SiRhCl2, as listed in Alexandria via LeMat-Bulk.

## Properties
Its formation energy (no corrections) is 1 kJ/mol of formula units. Its energy above the most stable polymorph in this dataset is 580 meV per atom.

Cell: 6.360 6.360 6.360 Å, 151.66 141.02 48.89°
Fractional positions:
Cl (0.987, 0.987, 0.000)
Cl (0.712, 0.212, 0.500)
Rh (0.478, 0.478, 0.000)
Si (0.323, 0.823, 0.500)